! SrP4Br, relaxed, DFT GGA-PBE; values from VASP
! ΔE_f (raw) = -30.8 kJ/mol of atoms
! DOS(E_F) = 0.8433 states/eV/atom
! Magnetic moment = 0.00 μB per atom
&SYSTEM
  ibrav = 0, nat = 6, ntyp = 3
/
ATOMIC_SPECIES
Sr 87.62 Sr.upf
P 30.97 P.upf
Br 79.90 Br.upf
ATOMIC_POSITIONS angstrom
Sr 0.000 0.000 0.000
P 3.314 3.314 3.314
P 4.919 4.919 3.314
P 4.919 3.314 4.919
P 3.314 4.919 4.919
Br 6.175 6.175 6.175
CELL_PARAMETERS angstrom
0.000 4.116 4.116
4.116 0.000 4.116
4.116 4.116 0.000

! UCoGeC, relaxed, DFT GGA-PBE; values from VASP
! E_tot = -32.78 eV/f.u.
! DOS(E_F) = 1.7051 states/eV/atom
! Magnetic moment = 0.30 μB per atom
&SYSTEM
  ibrav = 0, nat = 8, ntyp = 4
/
ATOMIC_SPECIES
U 238.03 U.upf
Co 58.93 Co.upf
Ge 72.64 Ge.upf
C 12.01 C.upf
ATOMIC_POSITIONS angstrom
U 0.925 0.925 1.319
U 2.775 2.775 7.182
Co 0.925 2.775 4.250
Co 2.775 0.925 4.250
Ge 0.925 0.925 5.601
Ge 2.775 2.775 2.900
C 0.925 0.925 7.580
C 2.775 2.775 0.921
CELL_PARAMETERS angstrom
3.699 0.000 0.000
0.000 3.699 0.000
0.000 0.000 8.501

! Fe2CuBr, relaxed, DFT GGA-PBE; values from VASP
! Relative energy among the computed polymorphs = 0.364 eV/atom
! ΔE_f (raw) = 68.2 kJ/mol of atoms
! DOS(E_F) = 1.0087 states/eV/atom
! Magnetic moment = 1.52 μB per atom
&SYSTEM
  ibrav = 0, nat = 8, ntyp = 3
/
ATOMIC_SPECIES
Fe 55.84 Fe.upf
Cu 63.55 Cu.upf
Br 79.90 Br.upf
ATOMIC_POSITIONS angstrom
Fe 1.393 1.748 0.000
Fe 1.393 5.245 0.000
Fe 4.179 1.748 0.000
Fe 4.179 5.245 0.000
Cu -0.005 0.000 1.520
Cu 2.782 3.497 1.520
Br -0.005 3.497 1.520
Br 2.782 0.000 1.520
CELL_PARAMETERS angstrom
5.573 0.000 0.000
0.000 6.993 0.000
-0.009 0.000 3.040

! Y3Er4Tm5, relaxed, DFT GGA-PBE; values from VASP
! Relative energy among the computed polymorphs = 0.000 eV/atom
! DOS(E_F) = 1.3980 states/eV/atom
! Magnetic moment = 0.00 μB per atom
&SYSTEM
  ibrav = 0, nat = 12, ntyp = 3
/
ATOMIC_SPECIES
Y 88.91 Y.upf
Er 167.26 Er.upf
Tm 168.93 Tm.upf
ATOMIC_POSITIONS angstrom
Y 0.000 0.000 0.000
Y 1.013 1.765 2.877
Y 5.073 5.288 5.726
Er 1.024 5.281 2.871
Er 2.029 3.526 5.749
Er 4.057 3.526 2.854
Er 5.062 1.772 5.732
Tm 0.001 3.521 0.000
Tm 2.038 0.011 5.744
Tm 3.035 5.276 0.005
Tm 3.050 1.777 8.598
Tm 4.048 7.042 2.859
CELL_PARAMETERS angstrom
6.082 0.000 0.000
0.003 7.042 0.000
0.001 0.011 8.603

! CdH4Pd2Rh, relaxed, DFT GGA-PBE; values from VASP
! E_tot = -32.77 eV/f.u.
! DOS(E_F) = 0.2209 states/eV/atom
! Magnetic moment = 0.00 μB per atom
&SYSTEM
  ibrav = 0, nat = 8, ntyp = 4
/
ATOMIC_SPECIES
Cd 112.41 Cd.upf
H 1.01 H.upf
Pd 106.42 Pd.upf
Rh 102.91 Rh.upf
ATOMIC_POSITIONS angstrom
Cd 0.000 0.000 0.000
H 4.035 2.983 3.228
H 2.962 1.896 5.896
H 1.889 2.983 3.228
H 2.962 4.069 5.896
Pd 1.481 1.491 2.287
Pd 4.443 4.474 6.856
Rh 2.962 2.983 4.567
CELL_PARAMETERS angstrom
0.000 2.983 4.569
2.962 0.000 4.569
2.962 2.983 0.000

! LiPr12Ag6, relaxed, DFT GGA-PBE; values from VASP
! E_tot = -76.74 eV/f.u.
! DOS(E_F) = 1.2294 states/eV/atom
! Magnetic moment = 0.00 μB per atom
&SYSTEM
  ibrav = 0, nat = 19, ntyp = 3
/
ATOMIC_SPECIES
Li 6.94 Li.upf
Pr 140.91 Pr.upf
Ag 107.87 Ag.upf
ATOMIC_POSITIONS angstrom
Li 0.000 0.000 0.000
Pr -4.684 2.123 2.878
Pr 0.503 -5.118 2.878
Pr -2.143 -0.008 2.815
Pr -4.181 -2.995 5.451
Pr 1.078 -1.851 2.815
Pr 1.064 1.860 2.815
Pr -1.064 -1.860 5.514
Pr -1.078 1.851 5.514
Pr 4.181 2.995 2.878
Pr 2.143 0.008 5.514
Pr -0.503 5.118 5.451
Pr 4.684 -2.123 5.451
Ag -2.258 -3.257 2.693
Ag -1.692 3.584 2.693
Ag -3.950 0.327 5.636
Ag 3.950 -0.327 2.693
Ag 1.692 -3.584 5.636
Ag 2.258 3.257 5.636
CELL_PARAMETERS angstrom
7.539 4.352 2.776
-7.539 4.352 2.776
0.000 -8.705 2.776

! ScV2Zn2, relaxed, DFT GGA-PBE; values from VASP
! Relative energy among the computed polymorphs = 0.000 eV/atom
! DOS(E_F) = 1.4563 states/eV/atom
! Magnetic moment = 0.00 μB per atom
&SYSTEM
  ibrav = 0, nat = 10, ntyp = 3
/
ATOMIC_SPECIES
Sc 44.96 Sc.upf
V 50.94 V.upf
Zn 65.41 Zn.upf
ATOMIC_POSITIONS angstrom
Sc 0.000 0.000 0.000
Sc 1.797 1.797 6.277
V 0.000 1.797 3.138
V 0.000 1.797 9.415
V 1.797 0.000 3.138
V 1.797 0.000 9.415
Zn 0.000 0.000 5.040
Zn 0.000 0.000 7.514
Zn 1.797 1.797 1.237
Zn 1.797 1.797 11.317
CELL_PARAMETERS angstrom
3.593 0.000 0.000
0.000 3.593 0.000
0.000 0.000 12.554

! Ta2AsAu, relaxed, DFT GGA-PBE; values from VASP
! Relative energy among the computed polymorphs = 0.114 eV/atom
! DOS(E_F) = 0.3710 states/eV/atom
! Magnetic moment = 0.00 μB per atom
&SYSTEM
  ibrav = 0, nat = 4, ntyp = 3
/
ATOMIC_SPECIES
Ta 180.95 Ta.upf
As 74.92 As.upf
Au 196.97 Au.upf
ATOMIC_POSITIONS angstrom
Ta 0.000 0.000 0.000
Ta 0.009 2.247 3.823
As 1.414 2.247 1.110
Au 1.436 0.000 2.632
CELL_PARAMETERS angstrom
2.856 0.000 0.000
0.000 4.494 0.000
-1.409 0.000 5.434

! Tb2DyAlN, relaxed, DFT GGA-PBE; values from VASP
! ΔE_f (raw) = -87.5 kJ/mol of atoms
! DOS(E_F) = 0.4587 states/eV/atom
! Magnetic moment = 0.00 μB per atom
&SYSTEM
  ibrav = 0, nat = 5, ntyp = 4
/
ATOMIC_SPECIES
Tb 158.93 Tb.upf
Dy 162.50 Dy.upf
Al 26.98 Al.upf
N 14.01 N.upf
ATOMIC_POSITIONS angstrom
Tb 0.000 2.403 0.000
Tb 2.403 0.000 0.000
Dy 0.000 0.000 2.388
Al 2.403 2.403 2.388
N 0.000 0.000 0.000
CELL_PARAMETERS angstrom
4.805 0.000 0.000
0.000 4.805 0.000
0.000 0.000 4.776

! Fe2HgAu, relaxed, DFT GGA-PBE; values from VASP
! E_tot = -19.01 eV/f.u.
! DOS(E_F) = 0.7782 states/eV/atom
! Magnetic moment = 1.38 μB per atom
&SYSTEM
  ibrav = 0, nat = 16, ntyp = 3
/
ATOMIC_SPECIES
Fe 55.84 Fe.upf
Hg 200.59 Hg.upf
Au 196.97 Au.upf
ATOMIC_POSITIONS angstrom
Fe 0.000 0.000 0.000
Fe 0.000 3.180 3.180
Fe 1.590 1.590 1.590
Fe 1.590 4.771 4.771
Fe 3.180 0.000 3.180
Fe 3.180 3.180 0.000
Fe 4.771 1.590 4.771
Fe 4.771 4.771 1.590
Hg 1.590 1.590 4.771
Hg 1.590 4.771 1.590
Hg 4.771 1.590 1.590
Hg 4.771 4.771 4.771
Au 0.000 0.000 3.180
Au 0.000 3.180 0.000
Au 3.180 0.000 0.000
Au 3.180 3.180 3.180
CELL_PARAMETERS angstrom
6.361 0.000 0.000
0.000 6.361 0.000
0.000 0.000 6.361

! Th2MnGe6Rh, relaxed, DFT GGA-PBE; values from VASP
! E_tot = -62.75 eV/f.u.
! DOS(E_F) = 0.6052 states/eV/atom
! Magnetic moment = 0.16 μB per atom
&SYSTEM
  ibrav = 0, nat = 20, ntyp = 4
/
ATOMIC_SPECIES
Th 232.04 Th.upf
Mn 54.94 Mn.upf
Ge 72.64 Ge.upf
Rh 102.91 Rh.upf
ATOMIC_POSITIONS angstrom
Th 1.633 8.890 1.622
Th 1.633 4.447 1.622
Th 4.899 0.001 5.262
Th 4.899 4.444 5.262
Mn 1.633 2.223 6.235
Mn 4.899 6.669 0.650
Ge 0.382 6.669 6.414
Ge 0.392 2.223 3.993
Ge 1.633 0.061 5.132
Ge 1.633 4.385 5.132
Ge 2.874 2.223 3.993
Ge 2.884 6.669 6.414
Ge 3.648 2.223 0.470
Ge 3.658 6.669 2.891
Ge 4.899 4.507 1.752
Ge 4.899 8.831 1.752
Ge 6.139 6.669 2.891
Ge 6.150 2.223 0.470
Rh 1.633 6.669 4.169
Rh 4.899 2.223 2.716
CELL_PARAMETERS angstrom
6.532 0.000 0.000
0.000 8.892 0.000
0.000 0.000 6.884

! MgScAl, relaxed, DFT GGA-PBE; values from VASP
! E_tot = -12.32 eV/f.u.
! DOS(E_F) = 0.9227 states/eV/atom
! Magnetic moment = 0.00 μB per atom
&SYSTEM
  ibrav = 0, nat = 3, ntyp = 3
/
ATOMIC_SPECIES
Mg 24.30 Mg.upf
Sc 44.96 Sc.upf
Al 26.98 Al.upf
ATOMIC_POSITIONS angstrom
Mg 0.000 0.000 0.000
Sc 2.364 1.365 1.598
Al 0.000 2.730 0.000
CELL_PARAMETERS angstrom
4.729 0.000 0.000
-2.364 4.095 0.000
0.000 0.000 3.196

! K2Tb2PuO6, relaxed, DFT GGA-PBE; values from VASP
! ΔE_f (raw) = -271.8 kJ/mol of atoms
! DOS(E_F) = 0.1581 states/eV/atom
! Magnetic moment = 0.36 μB per atom
&SYSTEM
  ibrav = 0, nat = 11, ntyp = 4
/
ATOMIC_SPECIES
K 39.10 K.upf
Tb 158.93 Tb.upf
Pu 244.00 Pu.upf
O 16.00 O.upf
ATOMIC_POSITIONS angstrom
K 3.025 3.474 0.000
K 3.025 -3.474 0.000
Tb 2.029 1.735 3.186
Tb 2.029 -1.735 3.186
Pu -0.996 0.000 3.186
O -0.033 1.742 4.296
O 0.915 0.000 2.083
O -0.033 -1.742 4.296
O 4.092 1.742 2.076
O 3.144 0.000 4.289
O 4.092 -1.742 2.076
CELL_PARAMETERS angstrom
3.025 -5.233 0.000
3.025 5.233 0.000
-1.992 0.000 6.372

! KInMo2, relaxed, DFT GGA-PBE; values from VASP
! E_tot = -21.14 eV/f.u.
! DOS(E_F) = 1.1748 states/eV/atom
! Magnetic moment = 0.00 μB per atom
&SYSTEM
  ibrav = 0, nat = 8, ntyp = 3
/
ATOMIC_SPECIES
K 39.10 K.upf
In 114.82 In.upf
Mo 95.94 Mo.upf
ATOMIC_POSITIONS angstrom
K 0.000 0.000 0.000
K 1.391 2.686 5.703
In 0.000 0.000 5.703
In 1.391 2.686 0.000
Mo 0.000 2.686 2.538
Mo 0.000 2.686 8.868
Mo 1.391 0.000 3.165
Mo 1.391 0.000 8.241
CELL_PARAMETERS angstrom
2.781 0.000 0.000
0.000 5.371 0.000
0.000 0.000 11.406

! PuZnSb, relaxed, DFT GGA-PBE; values from VASP
! ΔE_f (raw) = -20.2 kJ/mol of atoms
! DOS(E_F) = 2.1724 states/eV/atom
! Magnetic moment = 1.98 μB per atom
&SYSTEM
  ibrav = 0, nat = 6, ntyp = 3
/
ATOMIC_SPECIES
Pu 244.00 Pu.upf
Zn 65.41 Zn.upf
Sb 121.76 Sb.upf
ATOMIC_POSITIONS angstrom
Pu 0.000 0.000 0.000
Pu 1.784 1.784 5.516
Zn 0.000 0.000 3.612
Zn 1.784 1.784 9.129
Sb 0.000 0.000 7.639
Sb 1.784 1.784 2.123
CELL_PARAMETERS angstrom
3.568 0.000 0.000
0.000 3.568 0.000
0.000 0.000 11.033

! Ba2Ag2S, relaxed, DFT GGA-PBE; values from VASP
! ΔE_f (raw) = -73.1 kJ/mol of atoms
! DOS(E_F) = 0.3801 states/eV/atom
! Magnetic moment = 0.00 μB per atom
&SYSTEM
  ibrav = 0, nat = 10, ntyp = 3
/
ATOMIC_SPECIES
Ba 137.33 Ba.upf
Ag 107.87 Ag.upf
S 32.06 S.upf
ATOMIC_POSITIONS angstrom
Ba 0.000 0.000 1.835
Ba 0.000 0.000 16.869
Ba 1.985 1.985 7.517
Ba 1.985 1.985 11.186
Ag 0.000 1.985 4.676
Ag 0.000 1.985 14.028
Ag 1.985 0.000 4.676
Ag 1.985 0.000 14.028
S 0.000 0.000 9.352
S 1.985 1.985 0.000
CELL_PARAMETERS angstrom
3.969 0.000 0.000
0.000 3.969 0.000
0.000 0.000 18.704

! NaPa2HO6, relaxed, DFT GGA-PBE; values from VASP
! E_tot = -78.68 eV/f.u.
! DOS(E_F) = 0.0000 states/eV/atom
! Magnetic moment = 0.00 μB per atom
&SYSTEM
  ibrav = 0, nat = 10, ntyp = 4
/
ATOMIC_SPECIES
Na 22.99 Na.upf
Pa 231.04 Pa.upf
H 1.01 H.upf
O 16.00 O.upf
ATOMIC_POSITIONS angstrom
Na 0.000 0.000 0.000
Pa 0.000 2.584 2.431
Pa 2.584 0.000 2.431
H 2.584 2.584 4.615
O 0.000 0.000 3.528
O 1.306 1.306 1.396
O 1.306 3.862 1.396
O 2.584 2.584 3.634
O 3.862 1.306 1.396
O 3.862 3.862 1.396
CELL_PARAMETERS angstrom
5.169 0.000 0.000
0.000 5.169 0.000
0.000 0.000 5.759

! SmH8Rh2Pb, relaxed, DFT GGA-PBE; values from VASP
! E_tot = -50.14 eV/f.u.
! DOS(E_F) = 0.2093 states/eV/atom
! Magnetic moment = 0.00 μB per atom
&SYSTEM
  ibrav = 0, nat = 12, ntyp = 4
/
ATOMIC_SPECIES
Sm 150.36 Sm.upf
H 1.01 H.upf
Rh 102.91 Rh.upf
Pb 207.20 Pb.upf
ATOMIC_POSITIONS angstrom
Sm 0.000 0.000 0.000
H -0.930 -0.537 9.798
H 0.000 0.000 4.805
H 0.000 -1.074 16.018
H -0.930 0.537 16.018
H 0.930 -0.537 9.798
H 0.000 1.074 9.798
H 0.000 0.000 21.012
H 0.930 0.537 16.018
Rh 0.000 0.000 6.512
Rh 0.000 0.000 19.304
Pb 0.000 0.000 12.908
CELL_PARAMETERS angstrom
2.098 1.211 8.606
-2.098 1.211 8.606
0.000 -2.422 8.606